First-principles (PBE-GGA) data for a relaxed structure of BaPRu2, as listed in Alexandria via LeMat-Bulk.

Geometry as POSCAR:
```
BaPRu2
1.0
2.118 1.223 5.834
-2.118 1.223 5.834
0.000 -2.445 5.834
Ba P Ru
1 1 2
Cartesian
0.000 0.000 0.000 Ba
0.000 0.000 8.751 P
0.000 0.000 3.294 Ru
0.000 0.000 14.208 Ru
```

## Properties
symmetry	R-3m, No. 166
magnetic moment	0.393	μB/atom
calculated formation energy	-0.188	eV per atom

=====

First-principles (PBE-GGA) data for a relaxed structure of CsRbSb2, as listed in Alexandria via LeMat-Bulk.

Geometry as POSCAR:
```
CsRbSb2
1.0
4.658 0.000 0.000
0.000 7.282 0.000
0.000 0.000 10.972
Cs Rb Sb
2 2 4
Cartesian
0.000 1.068 0.000 Cs
0.000 6.214 5.486 Cs
2.329 2.587 6.927 Rb
2.329 4.695 1.441 Rb
0.000 2.679 3.822 Sb
0.000 4.603 9.308 Sb
2.329 1.054 3.153 Sb
2.329 6.228 8.639 Sb
```

## Properties
symmetry	Pmc2_1, No. 26
excess energy over the best structure of this formula in the dataset	0	meV/atom
magnetic moment	0.000	μB/atom
formation energy without anion corrections	-1.62	eV per formula unit

=====

First-principles (PBE-GGA) data for a relaxed structure of LiCeEuGe, as listed in Alexandria via LeMat-Bulk.

Geometry as POSCAR:
```
LiCeEuGe
1.0
0.000 3.702 3.702
3.702 0.000 3.702
3.702 3.702 0.000
Li Ce Eu Ge
1 1 1 1
Cartesian
0.000 0.000 0.000 Li
1.851 1.851 1.851 Ce
5.553 5.553 5.553 Eu
3.702 3.702 3.702 Ge
```

## Properties
symmetry	F-43m, No. 216
magnetic moment	2.122	μB/atom
calculated formation energy	-0.279	eV per atom

=====

First-principles (PBE-GGA) data for a relaxed structure of Th5C2N2, as listed in Alexandria via LeMat-Bulk.

Geometry as POSCAR:
```
Th5C2N2
1.0
8.725 -1.884 0.000
8.725 1.884 0.000
-1.605 0.000 6.099
Th C N
5 2 2
Cartesian
0.000 0.000 0.000 Th
0.854 0.000 3.443 Th
4.066 0.000 5.065 Th
11.779 0.000 1.034 Th
14.991 0.000 2.656 Th
6.392 0.000 4.362 C
9.453 0.000 1.737 C
0.977 0.000 5.800 N
14.869 0.000 0.299 N
```

## Properties
symmetry	C2/m, No. 12
magnetic moment	0.000	μB/atom
formation energy without anion corrections	-4.97	eV per formula unit

=====

> Number 1 is which compound?

BaPRu2